# Tm2ZrCd, relaxed, DFT GGA-PBE
# - spin magnetization (μB per cell) = 8.07
# - calculated formation energy (eV per atom) = 0.05
# - DOS at the Fermi energy (states/eV per cell) = 21.30
data_Tm2ZrCd
_chemical_formula_sum 'Tm8 Zr4 Cd4'
_space_group_name_H-M_alt 'F m -3 m'
_space_group_IT_number 225
_space_group_name_Hall '-F 4 2 3'
_cell_length_a 7.438
_cell_length_b 7.438
_cell_length_c 7.438
_cell_angle_alpha 90.00
_cell_angle_beta 90.00
_cell_angle_gamma 90.00
loop_
_atom_site_label
_atom_site_type_symbol
_atom_site_fract_x
_atom_site_fract_y
_atom_site_fract_z
Tm1 Tm 0.250 0.250 0.250
Zr1 Zr 0.000 0.000 0.000
Cd1 Cd 0.000 0.000 0.500